one:
Entry from Alexandria via LeMat-Bulk: a geometry-optimized ZrCuMo structure (PBE).

Output
Space group: No. 107

a b c (Å): 6.6552 6.6552 6.6552
angles (deg): 155.72 155.72 34.60
Closest atoms and distances in Å follow each position.
Element x y z (fractional)
Zr 0.0000 0.0000 0.0000  4 Zr 2.80, 4 Cu 2.91, 4 Mo 3.09
Cu 0.6673 0.6673 0.0000  4 Mo 2.71, 4 Cu 2.80, 4 Zr 2.91
Mo 0.3133 0.3133 0.0000  4 Cu 2.71, 4 Mo 2.80

two:
Entry from Alexandria via LeMat-Bulk: a geometry-optimized ZrCuMo structure (PBE).

Output
Space group: No. 107

a b c (Å): 5.0635 5.0635 5.0635
angles (deg): 141.22 141.22 56.01
Closest atoms and distances in Å follow each position.
Element x y z (fractional)
Zr 0.0000 0.0000 0.0000  5 Mo 2.82-2.89, 5 Cu 2.86-2.88
Cu 0.6778 0.6778 0.0000  4 Mo 2.68, 5 Zr 2.86-2.88
Mo 0.3153 0.3153 0.0000  4 Cu 2.68, 5 Zr 2.82-2.89

Which structure is the least stable? The one labeled two.

one:
Entry from Alexandria via LeMat-Bulk: a geometry-optimized Zr3CuMo structure (PBE).

Output
Space group: No. 221

a b c (Å): 4.8286 4.8286 4.8286
angles (deg): 90.00 90.00 90.00
Closest atoms and distances in Å follow each position.
Element x y z (fractional)
Zr 0.0000 0.0000 0.5000  2 Cu 2.41
Zr 0.0000 0.5000 0.0000  2 Cu 2.41
Zr 0.5000 0.0000 0.0000  2 Cu 2.41
Cu 0.0000 0.0000 0.0000  6 Zr 2.41
Mo 0.5000 0.5000 0.5000  12 Zr 3.41

two:
Entry from Alexandria via LeMat-Bulk: a geometry-optimized Zr3CuMo structure (PBE).

Output
Space group: No. 221

a b c (Å): 5.0244 5.0244 5.0244
angles (deg): 90.00 90.00 90.00
Closest atoms and distances in Å follow each position.
Element x y z (fractional)
Zr 0.0000 0.0000 0.5000  2 Mo 2.51
Zr 0.0000 0.5000 0.0000  2 Mo 2.51
Zr 0.5000 0.0000 0.0000  2 Mo 2.51
Cu 0.5000 0.5000 0.5000  12 Zr 3.55
Mo 0.0000 0.0000 0.0000  6 Zr 2.51

Which structure is the least stable? The one labeled two.

one:
Entry from Alexandria via LeMat-Bulk: a geometry-optimized NaCuN structure (PBE).

Output
Space group: No. 62

a b c (Å): 8.7381 3.5515 5.8798
angles (deg): 90.00 90.00 90.00
Closest atoms and distances in Å follow each position.
Element x y z (fractional)
Na 0.1630 0.2500 0.0623  2 N 2.46-2.48
Na 0.3370 0.7500 0.5623  2 N 2.46-2.48
Na 0.6630 0.2500 0.4377  2 N 2.46-2.48
Na 0.8370 0.7500 0.9377  2 N 2.46-2.48
Cu 0.0468 0.2500 0.6192  2 N 1.85
Cu 0.4532 0.7500 0.1192  2 N 1.85
Cu 0.5468 0.2500 0.8808  2 N 1.85
Cu 0.9532 0.7500 0.3808  2 N 1.85
N 0.0716 0.7500 0.7017  2 Cu 1.85
N 0.4284 0.2500 0.2017  2 Cu 1.85
N 0.5716 0.7500 0.7983  2 Cu 1.85
N 0.9284 0.2500 0.2983  2 Cu 1.85

two:
Entry from Alexandria via LeMat-Bulk: a geometry-optimized NaCuN structure (PBE).

Output
Space group: No. 123

a b c (Å): 4.0170 4.0170 3.4455
angles (deg): 90.00 90.00 90.00
Closest atoms and distances in Å follow each position.
Element x y z (fractional)
Na 0.0000 0.0000 0.0000  4 Cu 2.84
Cu 0.5000 0.5000 0.0000  2 N 1.72
N 0.5000 0.5000 0.5000  2 Cu 1.72

three:
Entry from Alexandria via LeMat-Bulk: a geometry-optimized NaCuN structure (PBE).

Output
Space group: No. 187

a b c (Å): 3.3099 3.3099 4.1989
angles (deg): 90.00 90.00 120.00
Closest atoms and distances in Å follow each position.
Element x y z (fractional)
Na 0.0000 0.0000 0.0000  6 Cu 2.84, 6 N 2.84
Cu 0.6667 0.3333 0.5000  3 N 1.91
N 0.3333 0.6667 0.5000  3 Cu 1.91

four:
Entry from Alexandria via LeMat-Bulk: a geometry-optimized NaCuN structure (PBE).

Output
Space group: No. 186

a b c (Å): 3.3076 3.3076 8.7239
angles (deg): 90.00 90.00 120.00
Closest atoms and distances in Å follow each position.
Element x y z (fractional)
Na 0.3333 0.6667 0.0000  4 N 2.49-2.67
Na 0.6667 0.3333 0.5000  4 N 2.49-2.67
Cu 0.0000 0.0000 0.2657  3 N 1.92
Cu 0.0000 0.0000 0.7657  3 N 1.92
N 0.3333 0.6667 0.2858  3 Cu 1.92
N 0.6667 0.3333 0.7858  3 Cu 1.92

Which structure is the least stable? The one labeled two.

one:
Entry from Alexandria via LeMat-Bulk: a geometry-optimized NaCuSN2 structure (PBE).

Output
Space group: No. 123

a b c (Å): 4.2555 4.2555 5.3462
angles (deg): 90.00 90.00 90.00
Closest atoms and distances in Å follow each position.
Element x y z (fractional)
Na 0.0000 0.0000 0.0000  4 N 2.13
Cu 0.5000 0.5000 0.5000  4 S 3.01
S 0.0000 0.0000 0.5000  2 Na 2.67
N 0.0000 0.5000 0.0000  2 Na 2.13
N 0.5000 0.0000 0.0000  2 Na 2.13

two:
Entry from Alexandria via LeMat-Bulk: a geometry-optimized NaCuSN2 structure (PBE).

Output
Space group: No. 123

a b c (Å): 3.9043 3.9043 4.9128
angles (deg): 90.00 90.00 90.00
Closest atoms and distances in Å follow each position.
Element x y z (fractional)
Na 0.0000 0.0000 0.0000  4 S 2.76
Cu 0.5000 0.5000 0.5000  4 N 1.95
S 0.5000 0.5000 0.0000  2 Cu 2.46
N 0.0000 0.5000 0.5000  2 Cu 1.95
N 0.5000 0.0000 0.5000  2 Cu 1.95

Which structure is the least stable? The one labeled one.

one:
Entry from Alexandria via LeMat-Bulk: a geometry-optimized NbCu3N structure (PBE).

Output
Space group: No. 221

a b c (Å): 4.7451 4.7451 4.7451
angles (deg): 90.00 90.00 90.00
Closest atoms and distances in Å follow each position.
Element x y z (fractional)
Nb 0.0000 0.0000 0.0000  6 Cu 2.37
Cu 0.0000 0.0000 0.5000  2 Nb 2.37
Cu 0.0000 0.5000 0.0000  2 Nb 2.37
Cu 0.5000 0.0000 0.0000  2 Nb 2.37
N 0.5000 0.5000 0.5000  12 Cu 3.36

two:
Entry from Alexandria via LeMat-Bulk: a geometry-optimized NbCu3N structure (PBE).

Output
Space group: No. 221

a b c (Å): 3.9706 3.9706 3.9706
angles (deg): 90.00 90.00 90.00
Closest atoms and distances in Å follow each position.
Element x y z (fractional)
Nb 0.0000 0.0000 0.0000  12 Cu 2.81
Cu 0.0000 0.5000 0.5000  2 N 1.99
Cu 0.5000 0.0000 0.5000  2 N 1.99
Cu 0.5000 0.5000 0.0000  2 N 1.99
N 0.5000 0.5000 0.5000  6 Cu 1.99

Which structure is the least stable? The one labeled one.

one:
Entry from Alexandria via LeMat-Bulk: a geometry-optimized NbCuSeN2 structure (PBE).

Output
Space group: No. 123

a b c (Å): 3.9413 3.9413 5.6079
angles (deg): 90.00 90.00 90.00
Closest atoms and distances in Å follow each position.
Element x y z (fractional)
Nb 0.0000 0.0000 0.0000  4 N 1.97
Cu 0.5000 0.5000 0.5000  4 Se 2.79
Se 0.0000 0.0000 0.5000  4 Cu 2.79, 2 Nb 2.80
N 0.0000 0.5000 0.0000  2 Nb 1.97
N 0.5000 0.0000 0.0000  2 Nb 1.97

two:
Entry from Alexandria via LeMat-Bulk: a geometry-optimized NbCuSeN2 structure (PBE).

Output
Space group: No. 123

a b c (Å): 3.8129 3.8129 4.6341
angles (deg): 90.00 90.00 90.00
Closest atoms and distances in Å follow each position.
Element x y z (fractional)
Nb 0.0000 0.0000 0.0000  4 Se 2.70, 8 N 3.00
Cu 0.5000 0.5000 0.5000  4 N 1.91
Se 0.5000 0.5000 0.0000  2 Cu 2.32
N 0.0000 0.5000 0.5000  2 Cu 1.91
N 0.5000 0.0000 0.5000  2 Cu 1.91

Which structure is the least stable? The one labeled two.

one:
Entry from Alexandria via LeMat-Bulk: a geometry-optimized NbCuTeN2 structure (PBE).

Output
Space group: No. 123

a b c (Å): 3.9749 3.9749 6.0021
angles (deg): 90.00 90.00 90.00
Closest atoms and distances in Å follow each position.
Element x y z (fractional)
Nb 0.0000 0.0000 0.0000  4 N 1.99
Cu 0.5000 0.5000 0.5000  4 Te 2.81
Te 0.0000 0.0000 0.5000  4 Cu 2.81, 2 Nb 3.00
N 0.0000 0.5000 0.0000  2 Nb 1.99
N 0.5000 0.0000 0.0000  2 Nb 1.99

two:
Entry from Alexandria via LeMat-Bulk: a geometry-optimized NbCuTeN2 structure (PBE).

Output
Space group: No. 123

a b c (Å): 3.9361 3.9361 5.0984
angles (deg): 90.00 90.00 90.00
Closest atoms and distances in Å follow each position.
Element x y z (fractional)
Nb 0.0000 0.0000 0.0000  4 Te 2.78
Cu 0.5000 0.5000 0.5000  4 N 1.97
Te 0.5000 0.5000 0.0000  2 Cu 2.55, 4 Nb 2.78
N 0.0000 0.5000 0.5000  2 Cu 1.97
N 0.5000 0.0000 0.5000  2 Cu 1.97

Which structure is the least stable? The one labeled two.

one:
Entry from Alexandria via LeMat-Bulk: a geometry-optimized CuNi3N structure (PBE).

Output
Space group: No. 160

a b c (Å): 4.3570 4.3570 4.3570
angles (deg): 111.82 111.82 111.82
Closest atoms and distances in Å follow each position.
Element x y z (fractional)
Cu 0.0000 0.0000 0.0000  2 N 1.90-1.92
Ni 0.3765 0.3765 0.8050  1 N 1.79
Ni 0.3765 0.8050 0.3765  1 N 1.79
Ni 0.8050 0.3765 0.3765  1 N 1.79
N 0.4983 0.4983 0.4983  3 Ni 1.79, 2 Cu 1.90-1.92

two:
Entry from Alexandria via LeMat-Bulk: a geometry-optimized CuNi3N structure (PBE).

Output
Space group: No. 15

a b c (Å): 7.6288 7.6288 3.6770
angles (deg): 90.10 90.10 95.02
Closest atoms and distances in Å follow each position.
Element x y z (fractional)
Cu 0.0772 0.9228 0.7500  8 Ni 2.51-2.56, 4 Cu 2.51-2.53
Cu 0.2296 0.7704 0.2500  8 Ni 2.45-2.50, 2 Cu 2.51
Cu 0.7704 0.2296 0.7500  8 Ni 2.45-2.50, 2 Cu 2.51
Cu 0.9228 0.0772 0.2500  8 Ni 2.51-2.56, 4 Cu 2.51-2.53
Ni 0.0812 0.5916 0.7493  1 N 1.81
Ni 0.0930 0.2531 0.7510  1 N 1.81
Ni 0.2531 0.0930 0.2510  1 N 1.81
Ni 0.2799 0.4521 0.2503  3 N 1.85-2.04
Ni 0.4084 0.9188 0.7507  1 N 1.81
Ni 0.4521 0.2799 0.7503  3 N 1.85-2.04
Ni 0.5479 0.7201 0.2497  3 N 1.85-2.04
Ni 0.5916 0.0812 0.2493  1 N 1.81
Ni 0.7201 0.5479 0.7497  3 N 1.85-2.04
Ni 0.7469 0.9070 0.7490  1 N 1.81
Ni 0.9070 0.7469 0.2490  1 N 1.81
Ni 0.9188 0.4084 0.2507  1 N 1.81
N 0.2535 0.4428 0.7500  4 Ni 1.81-1.85
N 0.4428 0.2535 0.2500  4 Ni 1.81-1.85
N 0.5572 0.7465 0.7500  4 Ni 1.81-1.85
N 0.7465 0.5572 0.2500  4 Ni 1.81-1.85

Which structure is the least stable? The one labeled one.

one:
Entry from Alexandria via LeMat-Bulk: a geometry-optimized CuNi3N structure (PBE).

Output
Space group: No. 14

a b c (Å): 6.4213 4.9140 7.4307
angles (deg): 90.00 115.60 90.00
Closest atoms and distances in Å follow each position.
Element x y z (fractional)
Cu 0.0944 0.1765 0.1155  1 Cu 2.37, 6 Ni 2.37-2.57
Cu 0.0944 0.3235 0.6155  1 Cu 2.37, 6 Ni 2.37-2.57
Cu 0.9056 0.6765 0.3845  1 Cu 2.37, 6 Ni 2.37-2.57
Cu 0.9056 0.8235 0.8845  1 Cu 2.37, 6 Ni 2.37-2.57
Ni 0.1416 0.6503 0.2123  1 N 1.80
Ni 0.1416 0.8497 0.7123  1 N 1.80
Ni 0.2969 0.0480 0.4658  2 N 1.90-1.91
Ni 0.2969 0.4520 0.9658  2 N 1.90-1.91
Ni 0.4520 0.5869 0.6433  3 N 1.89-2.07
Ni 0.4520 0.9131 0.1433  3 N 1.89-2.07
Ni 0.5480 0.0869 0.8567  3 N 1.89-2.07
Ni 0.5480 0.4131 0.3567  3 N 1.89-2.07
Ni 0.7031 0.5480 0.0342  2 N 1.90-1.91
Ni 0.7031 0.9520 0.5342  2 N 1.90-1.91
Ni 0.8584 0.1503 0.2877  1 N 1.80
Ni 0.8584 0.3497 0.7877  1 N 1.80
N 0.4287 0.7446 0.8803  5 Ni 1.80-1.99
N 0.4287 0.7554 0.3803  5 Ni 1.80-1.99
N 0.5713 0.2446 0.6197  5 Ni 1.80-1.99
N 0.5713 0.2554 0.1197  5 Ni 1.80-1.99

two:
Entry from Alexandria via LeMat-Bulk: a geometry-optimized CuNi3N structure (PBE).

Output
Space group: No. 221

a b c (Å): 4.2765 4.2765 4.2765
angles (deg): 90.00 90.00 90.00
Closest atoms and distances in Å follow each position.
Element x y z (fractional)
Cu 0.0000 0.0000 0.0000  6 Ni 2.14
Ni 0.0000 0.0000 0.5000  2 Cu 2.14
Ni 0.0000 0.5000 0.0000  2 Cu 2.14
Ni 0.5000 0.0000 0.0000  2 Cu 2.14
N 0.5000 0.5000 0.5000  12 Ni 3.02

Which structure is the least stable? The one labeled two.

one:
Entry from Alexandria via LeMat-Bulk: a geometry-optimized Cu3NiN structure (PBE).

Output
Space group: No. 221

a b c (Å): 4.2991 4.2991 4.2991
angles (deg): 90.00 90.00 90.00
Closest atoms and distances in Å follow each position.
Element x y z (fractional)
Cu 0.0000 0.0000 0.5000  2 Ni 2.15
Cu 0.0000 0.5000 0.0000  2 Ni 2.15
Cu 0.5000 0.0000 0.0000  2 Ni 2.15
Ni 0.0000 0.0000 0.0000  6 Cu 2.15
N 0.5000 0.5000 0.5000  12 Cu 3.04

two:
Entry from Alexandria via LeMat-Bulk: a geometry-optimized Cu3NiN structure (PBE).

Output
Space group: No. 221

a b c (Å): 3.8102 3.8102 3.8102
angles (deg): 90.00 90.00 90.00
Closest atoms and distances in Å follow each position.
Element x y z (fractional)
Cu 0.0000 0.0000 0.5000  2 N 1.91
Cu 0.0000 0.5000 0.0000  2 N 1.91
Cu 0.5000 0.0000 0.0000  2 N 1.91
Ni 0.5000 0.5000 0.5000  12 Cu 2.69
N 0.0000 0.0000 0.0000  6 Cu 1.91

Which structure is the least stable? The one labeled one.

one:
Entry from Alexandria via LeMat-Bulk: a geometry-optimized CuNiN2 structure (PBE).

Output
Space group: No. 225

a b c (Å): 3.6321 3.6321 3.6321
angles (deg): 60.00 60.00 60.00
Closest atoms and distances in Å follow each position.
Element x y z (fractional)
Cu 0.0000 0.0000 0.0000  8 N 2.22
Ni 0.5000 0.5000 0.5000  8 N 2.22
N 0.2500 0.2500 0.2500  4 Ni 2.22, 4 Cu 2.22
N 0.7500 0.7500 0.7500  4 Cu 2.22, 4 Ni 2.22

two:
Entry from Alexandria via LeMat-Bulk: a geometry-optimized CuNiN2 structure (PBE).

Output
Space group: No. 166

a b c (Å): 5.8810 5.8810 5.8810
angles (deg): 28.51 28.51 28.51
Closest atoms and distances in Å follow each position.
Element x y z (fractional)
Cu 0.0000 0.0000 0.0000  6 N 1.98
Ni 0.5000 0.5000 0.5000  2 N 1.77
N 0.3955 0.3955 0.3955  1 Ni 1.77, 3 Cu 1.98
N 0.6045 0.6045 0.6045  1 Ni 1.77, 3 Cu 1.98

Which structure is the least stable? The one labeled one.

one:
Entry from Alexandria via LeMat-Bulk: a geometry-optimized CuNiN2 structure (PBE).

Output
Space group: No. 166

a b c (Å): 5.9718 5.9718 5.9718
angles (deg): 27.34 27.34 27.34
Closest atoms and distances in Å follow each position.
Element x y z (fractional)
Cu 0.0000 0.0000 0.0000  2 N 1.84
Ni 0.5000 0.5000 0.5000  6 N 1.93
N 0.1068 0.1068 0.1068  1 Cu 1.84, 3 Ni 1.93
N 0.8932 0.8932 0.8932  1 Cu 1.84, 3 Ni 1.93

two:
Entry from Alexandria via LeMat-Bulk: a geometry-optimized CuNiN2 structure (PBE).

Output
Space group: No. 122

a b c (Å): 5.3581 5.3581 5.3581
angles (deg): 131.79 131.79 70.57
Closest atoms and distances in Å follow each position.
Element x y z (fractional)
Cu 0.0000 0.0000 0.0000  4 N 1.95
Cu 0.7500 0.2500 0.5000  4 N 1.95
Ni 0.2500 0.7500 0.5000  4 N 1.84
Ni 0.5000 0.5000 0.0000  4 N 1.84
N 0.1472 0.6250 0.0222  2 Ni 1.84, 2 Cu 1.95
N 0.3750 0.3972 0.5222  2 Ni 1.84, 2 Cu 1.95
N 0.6028 0.1250 0.9778  2 Ni 1.84, 2 Cu 1.95
N 0.8750 0.8528 0.4778  2 Ni 1.84, 2 Cu 1.95

Which structure is the least stable? The one labeled two.